A relaxed structure of PuTl7Hg4, computed with PBE-GGA.

Geometry as CIF:
```
data_PuTl7Hg4
_chemical_formula_sum 'Pu1 Tl7 Hg4'
_cell_length_a 6.4066
_cell_length_b 9.2632
_cell_length_c 7.3550
_cell_angle_alpha 89.84
_cell_angle_beta 64.18
_cell_angle_gamma 69.77
_space_group_name_H-M_alt 'P 1'
_space_group_IT_number 1
loop_
_space_group_symop_operation_xyz
'x,y,z'
loop_
_atom_site_label
_atom_site_type_symbol
_atom_site_fract_x
_atom_site_fract_y
_atom_site_fract_z
Hg1 Hg 0.8284 0.6634 0.6798
Tl1 Tl 0.3379 0.6600 0.6642
Tl2 Tl 0.7522 0.9852 0.5104
Tl3 Tl 0.6621 0.3400 0.3358
Hg2 Hg 0.1716 0.3366 0.3202
Tl4 Tl 0.2478 0.0148 0.4896
Tl5 Tl 0.5000 0.0000 0.0000
Tl6 Tl 0.0908 0.6497 0.1687
Hg3 Hg 0.4246 0.3237 0.8272
Hg4 Hg 0.5754 0.6763 0.1728
Tl7 Tl 0.9092 0.3503 0.8313
Pu1 Pu 0.0000 0.0000 0.0000
```

A relaxed structure of PmZnGa4Ni2, computed with PBE-GGA.

Geometry as CIF:
```
data_PmZnGa4Ni2
_chemical_formula_sum 'Pm1 Zn1 Ga4 Ni2'
_cell_length_a 4.1601
_cell_length_b 4.1601
_cell_length_c 9.2257
_cell_angle_alpha 76.97
_cell_angle_beta 76.97
_cell_angle_gamma 60.00
_space_group_name_H-M_alt 'P 1'
_space_group_IT_number 1
loop_
_space_group_symop_operation_xyz
'x,y,z'
loop_
_atom_site_label
_atom_site_type_symbol
_atom_site_fract_x
_atom_site_fract_y
_atom_site_fract_z
Ga1 Ga 0.5986 0.5986 0.2042
Ga2 Ga 0.4014 0.4014 0.7958
Ni1 Ni 0.2295 0.2295 0.3114
Ni2 Ni 0.7705 0.7705 0.6886
Ga3 Ga 0.8769 0.8769 0.3694
Pm1 Pm 0.0000 0.0000 0.0000
Ga4 Ga 0.1231 0.1231 0.6306
Zn1 Zn 0.5000 0.5000 0.5000
```

A relaxed structure of CaTlCoSn2, computed with PBE-GGA.

Summary:
Its energy above the most stable polymorph in this dataset is 0.00 eV/f.u.

Geometry as CIF:
```
data_CaTlCoSn2
_chemical_formula_sum 'Ca1 Tl1 Co1 Sn2'
_cell_length_a 4.9373
_cell_length_b 4.9373
_cell_length_c 5.3010
_cell_angle_alpha 90.00
_cell_angle_beta 90.00
_cell_angle_gamma 90.00
_space_group_name_H-M_alt 'P 1'
_space_group_IT_number 1
loop_
_space_group_symop_operation_xyz
'x,y,z'
loop_
_atom_site_label
_atom_site_type_symbol
_atom_site_fract_x
_atom_site_fract_y
_atom_site_fract_z
Tl1 Tl 0.5000 0.5000 0.5000
Co1 Co 0.0000 0.0000 0.0000
Sn1 Sn 0.0000 0.5000 0.0000
Sn2 Sn 0.5000 0.0000 0.0000
Ca1 Ca 0.0000 0.0000 0.5000
```

Quick rundown of D(E_F), same order as above: 19.71, 2.74, 3.58 states/eV/f.u.
Quick rundown of calculated formation energy, same order as above: 1.0, -2.8, -0.7 eV/f.u.